(1)
Li2SiMo: relaxed, GGA-PBE.

## Properties
- theoretical density (Mg/m³) = 3.98
- E_form (uncorrected) (eV per formula unit) = -0.10
- space group = C2/m (12)
- magnetic moment (μB per formula unit) = 0.0

Cell: 5.460 5.460 2.661 Å, 102.72 102.72 124.54°
Fractional coordinates of all 4 atoms:
Li1 0.000 0.500 0.000
Li2 0.500 0.000 0.000
Si1 0.000 0.000 0.500
Mo1 0.500 0.500 0.500

(2)
Na2PaAgO5: relaxed, GGA-PBE.

## Properties
- theoretical density (Mg/m³) = 5.01
- E_form (uncorrected) (eV per formula unit) = -15.72
- space group = P4/mmm (123)
- magnetic moment (μB per formula unit) = 1.4

Cell: 4.311 4.311 8.288 Å, 90.00 90.00 90.00°
Fractional coordinates of all 9 atoms:
Na1 0.000 0.000 0.228
Na2 0.000 0.000 0.772
Pa1 0.500 0.500 0.000
Ag1 0.500 0.500 0.500
O1 0.000 0.000 0.500
O2 0.000 0.500 0.000
O3 0.500 0.000 0.000
O4 0.500 0.500 0.255
O5 0.500 0.500 0.745

(3)
Cd3PAu: relaxed, GGA-PBE.

## Properties
- theoretical density (Mg/m³) = 7.02
- DFT formation energy (meV per atom) = 343.7
- space group = Pm-3m (221)
- magnetic moment (μB per formula unit) = 0.0
- offset from the most stable computed form (meV per atom) = 0

Cell: 5.113 5.113 5.113 Å, 90.00 90.00 90.00°
Fractional coordinates of all 5 atoms:
Cd1 0.000 0.000 0.500
Cd2 0.000 0.500 0.000
Cd3 0.500 0.000 0.000
P1 0.000 0.000 0.000
Au1 0.500 0.500 0.500

Uncorrected energy for the records above, in order: -20.18, -55.50, -9.71 eV per cell